(1)
A plane-wave DFT calculation with PBE was carried out for a geometry-optimized FeCoPdRh structure.

a b c (Å): 4.251 4.251 4.251
angles (deg): 60.00 60.00 60.00
Last column: magnetic moment on the atom in μB.
Fractional positions:
1 Fe 0.250 0.250 0.250  3.12
2 Pd 0.000 0.000 0.000  0.31
3 Co 0.750 0.750 0.750  1.98
4 Rh 0.500 0.500 0.500  0.97

Values from the calculation:
N(E_F)	7.0	states/eV/cell
DFT formation energy	0.0942	eV/atom
calculated total energy	-6.934	eV/atom


(2)
A plane-wave DFT calculation with PBE was carried out for a geometry-optimized PmNpOs2 structure.

a b c (Å): 3.479 3.479 8.328
angles (deg): 77.95 77.95 60.00
Fractional positions:
1 Os 0.737 0.737 0.788
2 Os 0.263 0.263 0.212
3 Np 0.000 0.000 0.000
4 Pm 0.500 0.500 0.500

Values from the calculation:
N(E_F)	5.7	states/eV/cell
DFT formation energy	0.4001	eV/atom
excess energy over the best structure of this formula in the dataset	1.26	eV per formula unit
calculated total energy	-9.638	eV/atom


(3)
A plane-wave DFT calculation with PBE was carried out for a geometry-optimized Np2TcN structure.

a b c (Å): 3.288 3.288 7.446
angles (deg): 77.24 77.24 60.00
Last column: magnetic moment on the atom in μB.
Fractional positions:
1 N 0.500 0.500 0.500  -0.13
2 Tc 0.000 0.000 0.000  -0.56
3 Np 0.766 0.766 0.703  3.02
4 Np 0.234 0.234 0.297  3.02

Values from the calculation:
N(E_F)	9.2	states/eV/cell
excess energy over the best structure of this formula in the dataset	0.00	eV per formula unit
calculated total energy	-11.371	eV/atom
formation energy from raw total energies	-0.23	eV per atom


(4)
A plane-wave DFT calculation with PBE was carried out for a geometry-optimized TcRh structure.

a b c (Å): 3.906 3.906 3.906
angles (deg): 60.00 60.00 60.00
Fractional positions:
1 Tc 0.250 0.250 0.250
2 Rh 0.000 0.000 0.000

Values from the calculation:
N(E_F)	2.5	states/eV/cell
DFT formation energy	1.1462	eV/atom
excess energy over the best structure of this formula in the dataset	2.64	eV per formula unit
calculated total energy	-7.713	eV/atom


(5)
A plane-wave DFT calculation with PBE was carried out for a geometry-optimized Sr2TlPd structure.

a b c (Å): 8.616 8.616 7.121
angles (deg): 52.78 52.78 90.00
Fractional positions:
1 Sr 0.875 0.830 0.750
2 Sr 0.580 0.125 0.250
3 Sr 0.375 0.420 0.750
4 Sr 0.170 0.625 0.250
5 Pd 0.250 0.750 0.500
6 Pd 0.500 0.500 0.000
7 Tl 0.000 0.000 0.000
8 Tl 0.750 0.250 0.500

Values from the calculation:
N(E_F)	7.2	states/eV/cell
DFT formation energy	-0.2175	eV/atom
excess energy over the best structure of this formula in the dataset	1.00	eV per formula unit
calculated total energy	-2.948	eV/atom


(6)
A plane-wave DFT calculation with PBE was carried out for a geometry-optimized Ba8P3I3N structure.

a b c (Å): 9.254 9.254 10.018
angles (deg): 117.51 90.00 120.00
Fractional positions:
1 Ba 0.734 0.467 0.701
2 Ba 0.784 0.030 0.314
3 Ba 0.246 0.030 0.314
4 Ba 0.216 0.432 0.686
5 Ba 0.216 0.970 0.686
6 Ba 0.266 0.533 0.299
7 Ba 0.784 0.568 0.314
8 Ba 0.754 0.970 0.686
9 I 0.500 0.500 0.000
10 I 0.000 0.500 0.000
11 I 0.000 0.000 0.000
12 P 0.500 0.000 0.500
13 P 0.500 0.500 0.500
14 P 0.000 0.500 0.500
15 N 0.000 0.000 0.500

Values from the calculation:
N(E_F)	5.3	states/eV/cell
calculated total energy	-4.137	eV/atom
formation energy from raw total energies	-1.16	eV per atom


(7)
A plane-wave DFT calculation with PBE was carried out for a geometry-optimized CoBr2Cl structure.

a b c (Å): 3.408 6.568 6.817
angles (deg): 63.49 90.00 90.00
Last column: magnetic moment on the atom in μB.
Fractional positions:
1 Br 0.000 0.881 0.898  0.25
2 Br 0.500 0.169 0.346  0.43
3 Cl 0.000 0.619 0.600  0.23
4 Co 0.500 0.831 0.656  2.53

Values from the calculation:
N(E_F)	2.1	states/eV/cell
excess energy over the best structure of this formula in the dataset	0.12	eV per formula unit
calculated total energy	-3.370	eV/atom
formation energy from raw total energies	-0.30	eV per atom


(8)
A plane-wave DFT calculation with PBE was carried out for a geometry-optimized Li2FeAu structure.

a b c (Å): 3.152 3.152 6.029
angles (deg): 90.00 90.00 90.00
Last column: magnetic moment on the atom in μB.
Fractional positions:
1 Li 0.000 0.000 0.994  -0.06
2 Li 0.500 0.500 0.254  -0.02
3 Fe 0.500 0.500 0.748  2.90
4 Au 0.000 0.000 0.503  0.05

Values from the calculation:
N(E_F)	2.3	states/eV/cell
DFT formation energy	0.0387	eV/atom
calculated total energy	-3.853	eV/atom


(9)
A plane-wave DFT calculation with PBE was carried out for a geometry-optimized Tb4Nd2DyEr structure.

a b c (Å): 9.529 9.529 11.835
angles (deg): 128.39 128.39 88.38
Last column: magnetic moment on the atom in μB.
Fractional positions:
1 Dy 0.000 0.000 0.000  0.25
2 Dy 0.500 0.500 0.500  0.25
3 Tb 0.753 0.747 0.997  0.23
4 Tb 0.247 0.253 0.003  0.23
5 Tb 0.755 0.248 0.001  0.24
6 Tb 0.247 0.253 0.497  0.23
7 Tb 0.753 0.747 0.503  0.23
8 Tb 0.748 0.255 0.501  0.24
9 Tb 0.245 0.752 0.999  0.24
10 Tb 0.252 0.745 0.499  0.24
11 Nd 0.500 0.500 0.000  0.17
12 Nd 0.500 0.000 0.500  0.23
13 Nd 0.000 0.000 0.500  0.17
14 Nd 0.500 0.000 0.000  0.23
15 Er 0.000 0.500 0.500  0.22
16 Er 0.000 0.500 0.000  0.22

Values from the calculation:
N(E_F)	37.1	states/eV/cell
DFT formation energy	0.4190	eV/atom
calculated total energy	-4.234	eV/atom


(10)
A plane-wave DFT calculation with PBE was carried out for a geometry-optimized Tm2Sc2Ru3 structure.

a b c (Å): 4.780 4.780 7.572
angles (deg): 90.01 108.40 119.99
Fractional positions:
1 Ru 0.499 0.249 0.748
2 Ru 0.501 0.751 0.252
3 Ru 0.000 0.000 0.000
4 Sc 0.743 0.871 0.614
5 Sc 0.257 0.129 0.386
6 Tm 0.238 0.619 0.857
7 Tm 0.762 0.381 0.143

Values from the calculation:
N(E_F)	4.2	states/eV/cell
DFT formation energy	-0.3721	eV/atom
calculated total energy	-7.434	eV/atom


(11)
A plane-wave DFT calculation with PBE was carried out for a geometry-optimized LiSN2Cl structure.

a b c (Å): 4.077 4.077 4.981
angles (deg): 90.00 90.00 90.00
Last column: magnetic moment on the atom in μB.
Fractional positions:
1 Cl 0.000 0.000 0.000  0.02
2 Li 0.500 0.500 0.500  0.00
3 N 0.000 0.500 0.000  1.05
4 N 0.500 0.000 0.000  1.05
5 S 0.000 0.000 0.500  0.23

Values from the calculation:
N(E_F)	2.0	states/eV/cell
excess energy over the best structure of this formula in the dataset	0.00	eV per formula unit
calculated total energy	-3.073	eV/atom
formation energy from raw total energies	1.83	eV per atom


(12)
A plane-wave DFT calculation with PBE was carried out for a geometry-optimized Rb2LaCl5 structure.

a b c (Å): 8.400 9.094 13.545
angles (deg): 90.00 90.00 90.00
Fractional positions:
1 Cl 0.342 0.540 0.424
2 Cl 0.158 0.540 0.924
3 Cl 0.625 0.250 0.326
4 Cl 0.593 0.750 0.011
5 Cl 0.658 0.460 0.576
6 Cl 0.158 0.960 0.924
7 Cl 0.407 0.250 0.989
8 Cl 0.840 0.750 0.803
9 Cl 0.658 0.040 0.576
10 Cl 0.340 0.250 0.697
11 Cl 0.907 0.750 0.511
12 Cl 0.342 0.960 0.424
13 Cl 0.160 0.250 0.197
14 Cl 0.375 0.750 0.674
15 Cl 0.842 0.460 0.076
16 Cl 0.660 0.750 0.303
17 Cl 0.093 0.250 0.489
18 Cl 0.875 0.250 0.826
19 Cl 0.842 0.040 0.076
20 Cl 0.125 0.750 0.174
21 Rb 0.953 0.497 0.328
22 Rb 0.453 0.503 0.172
23 Rb 0.547 0.497 0.828
24 Rb 0.047 0.503 0.672
25 Rb 0.547 0.003 0.828
26 Rb 0.953 0.003 0.328
27 Rb 0.453 0.997 0.172
28 Rb 0.047 0.997 0.672
29 La 0.431 0.250 0.495
30 La 0.569 0.750 0.505
31 La 0.069 0.250 0.995
32 La 0.931 0.750 0.005

Values from the calculation:
N(E_F)	0.0	states/eV/cell
excess energy over the best structure of this formula in the dataset	0.00	eV per formula unit
calculated total energy	-4.241	eV/atom
formation energy from raw total energies	-2.23	eV per atom


(13)
A plane-wave DFT calculation with PBE was carried out for a geometry-optimized HoTh2TcC4 structure.

a b c (Å): 3.612 6.285 12.719
angles (deg): 90.00 90.00 106.70
Fractional positions:
1 Ho 0.895 0.790 0.250
2 Ho 0.105 0.210 0.750
3 C 0.000 0.000 0.000
4 C 0.000 0.000 0.500
5 C 0.731 0.462 0.863
6 C 0.420 0.841 0.750
7 C 0.269 0.538 0.363
8 C 0.269 0.538 0.137
9 C 0.731 0.462 0.637
10 C 0.580 0.159 0.250
11 Tc 0.164 0.327 0.250
12 Tc 0.836 0.673 0.750
13 Th 0.367 0.733 0.540
14 Th 0.633 0.267 0.460
15 Th 0.633 0.267 0.040
16 Th 0.367 0.733 0.960

Values from the calculation:
N(E_F)	10.8	states/eV/cell
DFT formation energy	0.0173	eV/atom
calculated total energy	-8.318	eV/atom


(14)
A plane-wave DFT calculation with PBE was carried out for a geometry-optimized NbPPd structure.

a b c (Å): 3.351 7.193 7.860
angles (deg): 90.00 90.00 90.00
Fractional positions:
1 Nb 0.000 0.500 0.172
2 Nb 0.500 0.500 0.793
3 Nb 0.500 0.000 0.672
4 Nb 0.000 0.000 0.293
5 Pd 0.500 0.810 0.023
6 Pd 0.000 0.690 0.523
7 Pd 0.000 0.310 0.523
8 Pd 0.500 0.190 0.023
9 P 0.500 0.271 0.315
10 P 0.500 0.729 0.315
11 P 0.000 0.771 0.815
12 P 0.000 0.229 0.815

Values from the calculation:
N(E_F)	6.4	states/eV/cell
DFT formation energy	-0.5696	eV/atom
calculated total energy	-7.460	eV/atom


(15)
A plane-wave DFT calculation with PBE was carried out for a geometry-optimized TlCo2Cu structure.

a b c (Å): 5.023 5.023 2.795
angles (deg): 79.81 79.81 117.58
Last column: magnetic moment on the atom in μB.
Fractional positions:
1 Tl 0.000 0.500 0.500  -0.02
2 Co 0.000 0.000 0.000  1.65
3 Co 0.500 0.500 0.000  1.65
4 Cu 0.500 0.000 0.500  0.02

Values from the calculation:
N(E_F)	5.0	states/eV/cell
DFT formation energy	0.5913	eV/atom
excess energy over the best structure of this formula in the dataset	0.88	eV per formula unit
calculated total energy	-4.577	eV/atom


(16)
A plane-wave DFT calculation with PBE was carried out for a geometry-optimized Be2WBr structure.

a b c (Å): 6.479 6.479 5.322
angles (deg): 52.51 52.51 90.00
Fractional positions:
1 Br 0.250 0.750 0.500
2 Br 0.500 0.500 0.000
3 Be 0.875 0.861 0.750
4 Be 0.611 0.125 0.250
5 Be 0.375 0.389 0.750
6 Be 0.139 0.625 0.250
7 W 0.750 0.250 0.500
8 W 0.000 0.000 0.000

Values from the calculation:
N(E_F)	6.8	states/eV/cell
excess energy over the best structure of this formula in the dataset	3.05	eV per formula unit
calculated total energy	-4.371	eV/atom
formation energy from raw total energies	1.15	eV per atom


(17)
A plane-wave DFT calculation with PBE was carried out for a geometry-optimized SrLi3Ca2 structure.

a b c (Å): 4.070 4.070 12.089
angles (deg): 90.00 90.00 90.00
Fractional positions:
1 Ca 0.500 0.500 0.839
2 Ca 0.500 0.500 0.161
3 Sr 0.500 0.500 0.500
4 Li 0.000 0.000 0.684
5 Li 0.000 0.000 0.316
6 Li 0.000 0.000 0.000

Values from the calculation:
N(E_F)	5.7	states/eV/cell
DFT formation energy	0.0241	eV/atom
calculated total energy	-1.880	eV/atom


(18)
A plane-wave DFT calculation with PBE was carried out for a geometry-optimized HoPaNb structure.

a b c (Å): 3.441 3.441 13.441
angles (deg): 97.35 97.35 90.00
Fractional positions:
1 Pa 0.153 0.153 0.306
2 Pa 0.847 0.847 0.694
3 Ho 0.433 0.433 0.865
4 Ho 0.567 0.567 0.135
5 Nb 0.719 0.719 0.438
6 Nb 0.281 0.281 0.562

Values from the calculation:
N(E_F)	7.3	states/eV/cell
DFT formation energy	0.2105	eV/atom
calculated total energy	-7.837	eV/atom


(19)
A plane-wave DFT calculation with PBE was carried out for a geometry-optimized VTcCl structure.

a b c (Å): 3.038 2.862 12.293
angles (deg): 90.00 90.00 122.06
Fractional positions:
1 Tc 0.963 0.926 0.842
2 Tc 0.963 0.926 0.158
3 Cl 0.976 0.951 0.362
4 Cl 0.976 0.951 0.638
5 V 0.472 0.943 0.000
6 V 0.318 0.636 0.500

Values from the calculation:
N(E_F)	4.7	states/eV/cell
excess energy over the best structure of this formula in the dataset	1.13	eV per formula unit
calculated total energy	-7.154	eV/atom
formation energy from raw total energies	-0.04	eV per atom


(20)
A plane-wave DFT calculation with PBE was carried out for a geometry-optimized TaNbGe2Mo structure.

a b c (Å): 4.871 4.757 4.871
angles (deg): 90.00 90.00 90.00
Last column: magnetic moment on the atom in μB.
Fractional positions:
1 Mo 0.000 0.500 0.000  0.89
2 Ge 0.000 0.000 0.500  0.01
3 Ge 0.500 0.000 0.000  0.02
4 Nb 0.500 0.500 0.500  0.06
5 Ta 0.000 0.000 0.000  -0.06

Values from the calculation:
N(E_F)	8.0	states/eV/cell
DFT formation energy	1.4346	eV/atom
calculated total energy	-6.963	eV/atom